# 1
VASP calculation (PBE) on a geometry-optimized LuSiPd2 structure.

Properties
raw formation energy: -0.816 eV/atom
space group: No. 166

The structure in CIF format:
```
data_LuSiPd2
_chemical_formula_sum 'Lu1 Si1 Pd2'
_space_group_name_H-M_alt 'P 1'
_space_group_IT_number 1
_cell_length_a 4.3245
_cell_length_b 4.3245
_cell_length_c 5.0088
_cell_angle_alpha 64.43
_cell_angle_beta 64.43
_cell_angle_gamma 60.00
loop_
_space_group_symop_operation_xyz
'x,y,z'
loop_
_atom_site_label
_atom_site_fract_x
_atom_site_fract_y
_atom_site_fract_z
Si1 0.0000 0.0000 0.0000
Lu1 0.5000 0.5000 0.5000
Pd1 0.7186 0.7186 0.8442
Pd2 0.2814 0.2814 0.1558
```

=====

# 2
VASP calculation (PBE) on a geometry-optimized LuSiPd2 structure.

Properties
raw formation energy: -0.989 eV/atom
space group: No. 62

The structure in CIF format:
```
data_LuSiPd2
_chemical_formula_sum 'Lu4 Si4 Pd8'
_space_group_name_H-M_alt 'P 1'
_space_group_IT_number 1
_cell_length_a 5.4707
_cell_length_b 7.0134
_cell_length_c 7.1777
_cell_angle_alpha 90.00
_cell_angle_beta 90.00
_cell_angle_gamma 90.00
loop_
_space_group_symop_operation_xyz
'x,y,z'
loop_
_atom_site_label
_atom_site_fract_x
_atom_site_fract_y
_atom_site_fract_z
Si1 0.3627 0.7500 0.1210
Si2 0.6373 0.2500 0.8790
Si3 0.8627 0.2500 0.3790
Si4 0.1373 0.7500 0.6210
Lu1 0.1392 0.2500 0.0251
Lu2 0.3608 0.2500 0.5251
Lu3 0.6392 0.7500 0.4749
Lu4 0.8608 0.7500 0.9749
Pd1 0.0940 0.5513 0.3195
Pd2 0.0940 0.9487 0.3195
Pd3 0.4060 0.5513 0.8195
Pd4 0.9060 0.4487 0.6805
Pd5 0.5940 0.4487 0.1805
Pd6 0.9060 0.0513 0.6805
Pd7 0.4060 0.9487 0.8195
Pd8 0.5940 0.0513 0.1805
```

=====

# 3
VASP calculation (PBE) on a geometry-optimized TmLuSiPd structure.

Properties
raw formation energy: -0.757 eV/atom
space group: No. 216

The structure in CIF format:
```
data_TmLuSiPd
_chemical_formula_sum 'Tm1 Lu1 Si1 Pd1'
_space_group_name_H-M_alt 'P 1'
_space_group_IT_number 1
_cell_length_a 4.8875
_cell_length_b 4.8875
_cell_length_c 4.8875
_cell_angle_alpha 60.00
_cell_angle_beta 60.00
_cell_angle_gamma 60.00
loop_
_space_group_symop_operation_xyz
'x,y,z'
loop_
_atom_site_label
_atom_site_fract_x
_atom_site_fract_y
_atom_site_fract_z
Si1 0.7500 0.7500 0.7500
Lu1 0.0000 0.0000 0.0000
Tm1 0.5000 0.5000 0.5000
Pd1 0.2500 0.2500 0.2500
```

=====

# 4
VASP calculation (PBE) on a geometry-optimized YLuSiPd structure.

Properties
raw formation energy: -0.745 eV/atom
space group: No. 216

The structure in CIF format:
```
data_YLuSiPd
_chemical_formula_sum 'Y1 Lu1 Si1 Pd1'
_space_group_name_H-M_alt 'P 1'
_space_group_IT_number 1
_cell_length_a 4.9283
_cell_length_b 4.9283
_cell_length_c 4.9283
_cell_angle_alpha 60.00
_cell_angle_beta 60.00
_cell_angle_gamma 60.00
loop_
_space_group_symop_operation_xyz
'x,y,z'
loop_
_atom_site_label
_atom_site_fract_x
_atom_site_fract_y
_atom_site_fract_z
Y1 0.2500 0.2500 0.2500
Si1 0.5000 0.5000 0.5000
Lu1 0.7500 0.7500 0.7500
Pd1 0.0000 0.0000 0.0000
```

=====

# 5
VASP calculation (PBE) on a geometry-optimized SmLuPd4 structure.

Properties
formation energy: -0.803 eV/atom
space group: No. 216

The structure in CIF format:
```
data_SmLuPd4
_chemical_formula_sum 'Sm1 Lu1 Pd4'
_space_group_name_H-M_alt 'P 1'
_space_group_IT_number 1
_cell_length_a 5.4477
_cell_length_b 5.4477
_cell_length_c 5.4477
_cell_angle_alpha 60.00
_cell_angle_beta 60.00
_cell_angle_gamma 60.00
loop_
_space_group_symop_operation_xyz
'x,y,z'
loop_
_atom_site_label
_atom_site_fract_x
_atom_site_fract_y
_atom_site_fract_z
Lu1 0.0000 0.0000 0.0000
Pd1 0.6254 0.6254 0.1238
Pd2 0.6254 0.1238 0.6254
Pd3 0.6254 0.6254 0.6254
Pd4 0.1238 0.6254 0.6254
Sm1 0.2500 0.2500 0.2500
```

=====

# 6
VASP calculation (PBE) on a geometry-optimized SmLu2Pd structure.

Properties
formation energy: -0.317 eV/atom
space group: No. 166

The structure in CIF format:
```
data_SmLu2Pd
_chemical_formula_sum 'Sm1 Lu2 Pd1'
_space_group_name_H-M_alt 'P 1'
_space_group_IT_number 1
_cell_length_a 3.6356
_cell_length_b 3.6356
_cell_length_c 9.8677
_cell_angle_alpha 79.38
_cell_angle_beta 79.38
_cell_angle_gamma 60.00
loop_
_space_group_symop_operation_xyz
'x,y,z'
loop_
_atom_site_label
_atom_site_fract_x
_atom_site_fract_y
_atom_site_fract_z
Lu1 0.2687 0.2687 0.1939
Lu2 0.7313 0.7313 0.8061
Pd1 0.0000 0.0000 0.0000
Sm1 0.5000 0.5000 0.5000
```

=====

# 7
VASP calculation (PBE) on a geometry-optimized SmLu2Pd structure.

Properties
formation energy: -0.456 eV/atom
space group: No. 123

The structure in CIF format:
```
data_SmLu2Pd
_chemical_formula_sum 'Sm1 Lu2 Pd1'
_space_group_name_H-M_alt 'P 1'
_space_group_IT_number 1
_cell_length_a 3.5087
_cell_length_b 3.5087
_cell_length_c 8.4402
_cell_angle_alpha 90.00
_cell_angle_beta 90.00
_cell_angle_gamma 90.00
loop_
_space_group_symop_operation_xyz
'x,y,z'
loop_
_atom_site_label
_atom_site_fract_x
_atom_site_fract_y
_atom_site_fract_z
Lu1 0.0000 0.0000 0.8054
Lu2 0.0000 0.0000 0.1946
Pd1 0.5000 0.5000 0.0000
Sm1 0.5000 0.5000 0.5000
```

=====

# 8
VASP calculation (PBE) on a geometry-optimized SmLu3Pd structure.

Properties
formation energy: -0.197 eV/atom
space group: No. 221

The structure in CIF format:
```
data_SmLu3Pd
_chemical_formula_sum 'Sm1 Lu3 Pd1'
_space_group_name_H-M_alt 'P 1'
_space_group_IT_number 1
_cell_length_a 5.3601
_cell_length_b 5.3601
_cell_length_c 5.3601
_cell_angle_alpha 90.00
_cell_angle_beta 90.00
_cell_angle_gamma 90.00
loop_
_space_group_symop_operation_xyz
'x,y,z'
loop_
_atom_site_label
_atom_site_fract_x
_atom_site_fract_y
_atom_site_fract_z
Lu1 0.0000 0.5000 0.0000
Lu2 0.0000 0.0000 0.5000
Lu3 0.5000 0.0000 0.0000
Pd1 0.0000 0.0000 0.0000
Sm1 0.5000 0.5000 0.5000
```